w | {"formula": "BeTcAg3", "functional": "PBE", "state": "relaxed", "lattice": [[4.3985, 0.0000, 0.0000], [0.0000, 4.3985, 0.0000], [0.0000, 0.0000, 4.3985]], "species": ["Be", "Tc", "Ag", "Ag", "Ag"], "frac_coords": [[0.0000, 0.0000, 0.0000], [0.5000, 0.5000, 0.5000], [0.0000, 0.0000, 0.5000], [0.0000, 0.5000, 0.0000], [0.5000, 0.0000, 0.0000]], "spacegroup": "Pm-3m", "crystal_system": "cubic", "dos_ef_per_ev_fu": 5.0, "density_kg_m3": 8403}

---

x | {"formula": "BeTcAg3", "functional": "PBE", "state": "relaxed", "lattice": [[5.1291, 0.0000, 0.0000], [0.0000, 5.1291, 0.0000], [0.0000, 0.0000, 5.1291]], "species": ["Be", "Tc", "Ag", "Ag", "Ag"], "frac_coords": [[0.0000, 0.0000, 0.0000], [0.5000, 0.5000, 0.5000], [0.0000, 0.5000, 0.5000], [0.5000, 0.0000, 0.5000], [0.5000, 0.5000, 0.0000]], "spacegroup": "Pm-3m", "crystal_system": "cubic", "dos_ef_per_ev_fu": 3.5, "density_kg_m3": 5299}

---

Of all the structures shown, which is most stable? w, and x is the least stable.